No. 1
This record from Alexandria describes crystalline Sr2Cd2Sn at its relaxed geometry. The functional is PBE-GGA.

Summary:
DFT formation energy ... -1.54 eV per formula unit

Structure (CIF):
```
data_Sr2Cd2Sn
_chemical_formula_sum 'Sr4 Cd4 Sn2'
_space_group_name_H-M_alt 'I 4/m m m'
_space_group_IT_number 139
_space_group_name_Hall '-I 4 2'
_cell_length_a 4.058
_cell_length_b 4.058
_cell_length_c 20.566
_cell_angle_alpha 90.00
_cell_angle_beta 90.00
_cell_angle_gamma 90.00
loop_
_atom_site_label
_atom_site_fract_x
_atom_site_fract_y
_atom_site_fract_z
Sr1 0.000 0.000 0.101
Cd1 0.000 0.500 0.250
Sn1 0.000 0.000 0.500
```

***

No. 2
This record from Alexandria describes crystalline Ba2Ca2I at its relaxed geometry. The functional is PBE-GGA.

Summary:
Offset from the most stable computed form ... 14.1 meV/atom
Raw formation energy ... -0.262 eV/atom

Structure (CIF):
```
data_Ba2Ca2I
_chemical_formula_sum 'Ba4 Ca4 I2'
_space_group_name_H-M_alt 'P 4/m b m'
_space_group_IT_number 127
_space_group_name_Hall '-P 4 2ab'
_cell_length_a 8.799
_cell_length_b 8.799
_cell_length_c 6.563
_cell_angle_alpha 90.00
_cell_angle_beta 90.00
_cell_angle_gamma 90.00
loop_
_atom_site_label
_atom_site_fract_x
_atom_site_fract_y
_atom_site_fract_z
Ba1 0.158 0.342 0.000
Ca1 0.150 0.650 0.500
I1 0.000 0.000 0.500
```

***

No. 3
This record from Alexandria describes crystalline LuPaIr2 at its relaxed geometry. The functional is PBE-GGA.

Summary:
DFT formation energy ... -3.08 eV per formula unit
Offset from the most stable computed form ... 42.6 meV/atom

Structure (CIF):
```
data_LuPaIr2
_chemical_formula_sum 'Lu4 Pa4 Ir8'
_space_group_name_H-M_alt 'F m -3 m'
_space_group_IT_number 225
_space_group_name_Hall '-F 4 2 3'
_cell_length_a 6.859
_cell_length_b 6.859
_cell_length_c 6.859
_cell_angle_alpha 90.00
_cell_angle_beta 90.00
_cell_angle_gamma 90.00
loop_
_atom_site_label
_atom_site_fract_x
_atom_site_fract_y
_atom_site_fract_z
Lu1 0.000 0.000 0.000
Pa1 0.000 0.000 0.500
Ir1 0.250 0.250 0.250
```

***

No. 4
This record from Alexandria describes crystalline Cd2TcNi at its relaxed geometry. The functional is PBE-GGA.

Summary:
DFT formation energy ... 1.94 eV per formula unit
Offset from the most stable computed form ... 314.5 meV/atom

Structure (CIF):
```
data_Cd2TcNi
_chemical_formula_sum 'Cd8 Tc4 Ni4'
_space_group_name_H-M_alt 'F m -3 m'
_space_group_IT_number 225
_space_group_name_Hall '-F 4 2 3'
_cell_length_a 6.445
_cell_length_b 6.445
_cell_length_c 6.445
_cell_angle_alpha 90.00
_cell_angle_beta 90.00
_cell_angle_gamma 90.00
loop_
_atom_site_label
_atom_site_fract_x
_atom_site_fract_y
_atom_site_fract_z
Cd1 0.250 0.250 0.250
Tc1 0.000 0.000 0.000
Ni1 0.000 0.000 0.500
```

***

Number 1: calculated total energy -2.15 eV per atom. Number 2: calculated total energy -2.14 eV per atom. Number 3: calculated total energy -8.71 eV per atom. Number 4: calculated total energy -4.01 eV per atom.